1.
# NaV

An optimized crystal structure of NaV (PBE-GGA, the Alexandria database).

a b c (Å): 9.5097 9.5097 2.8057
angles (deg): 90.00 90.00 120.00
Last column: nearest neighbours and their distance in Å.
Space group P6_3/mmc (No. 194)
One atom of each set of equivalent atoms:
Na1 0.1485 0.2969 0.2500  6 Na 2.81-2.82, 4 V 2.99
V1 0.1413 0.5706 0.7500  6 V 2.72-2.81, 4 Na 2.99

Output
Fermi-level density of states: 0.688 states/eV/atom
volume: 18.31 A^3/atom
total energy: -4.33 eV per atom

***

2.
# Sc3Tl4

An optimized crystal structure of Sc3Tl4 (PBE-GGA, the Alexandria database).

a b c (Å): 13.6593 13.6593 6.2622
angles (deg): 90.00 90.00 120.00
Last column: nearest neighbours and their distance in Å.
Space group R-3 (No. 148, hexagonal axes)
One atom of each set of equivalent atoms:
Sc1 0.0511 0.8252 0.2063  9 Tl 3.04-3.35
Tl1 0.0000 0.0000 0.0000  6 Sc 3.09, 2 Tl 3.13
Tl2 0.0000 0.0000 0.5000  8 Tl 3.13-3.40, 6 Sc 3.35
Tl3 0.0538 0.7984 0.6902  7 Sc 3.04-3.25, 2 Tl 3.27-3.40

Output
Fermi-level density of states: 0.663 states/eV/atom
volume: 24.09 A^3/atom
total energy: -4.26 eV per atom

***

Result set for energy of formation from the pure elements: 0.889, -0.191 eV per atom, one per record in the order listed.
Result set for energy above the most stable polymorph in this dataset: 0.80, 0.00 eV/f.u., one per record in the order listed.